## K2CaCl (PBE)

Data for crystalline K2CaCl at its relaxed geometry.

Calculated values
Energy above the lowest structure with this stoichiometry in eV per atom: 0.082
Energy relative to the elements, uncorrected in meV/atom: -770

Geometry as extended XYZ:
```
4
Lattice="4.189 0.000 0.000 0.000 3.928 0.000 -2.088 0.000 11.055" Properties=species:S:1:pos:R:3 pbc="T T T"
K 0.000 0.000 0.000
K 0.002 1.964 7.135
Ca 2.099 0.000 3.860
Cl 2.097 1.964 1.691
```

## KSnBiBr6 (PBE)

Data for crystalline KSnBiBr6 at its relaxed geometry.

Calculated values
Energy relative to the elements, uncorrected in meV/atom: -961

Geometry as extended XYZ:
```
18
Lattice="7.236 0.000 0.000 0.000 7.236 0.000 0.000 0.000 13.580" Properties=species:S:1:pos:R:3 pbc="T T T"
K 0.000 0.000 0.000
K 3.618 3.618 6.790
Sn 0.000 0.000 9.081
Sn 3.618 3.618 2.291
Bi 0.000 0.000 4.519
Bi 3.618 3.618 11.309
Br 1.312 1.312 6.775
Br 1.484 1.484 2.530
Br 1.573 1.573 11.157
Br 2.045 5.191 4.367
Br 2.134 5.102 9.319
Br 2.307 4.930 13.565
Br 4.930 2.307 13.565
Br 5.102 2.134 9.319
Br 5.191 2.045 4.367
Br 5.663 5.663 11.157
Br 5.753 5.753 2.530
Br 5.925 5.925 6.775
```

## HoErLuZn (PBE)

Data for crystalline HoErLuZn at its relaxed geometry.

Calculated values
Formation energy from the elements in eV per formula unit: 0.116

Geometry as extended XYZ:
```
16
Lattice="7.445 0.000 0.000 0.000 7.445 0.000 0.000 0.000 7.445" Properties=species:S:1:pos:R:3 pbc="T T T"
Ho 0.000 0.000 0.000
Ho 0.000 3.723 3.723
Ho 3.723 0.000 3.723
Ho 3.723 3.723 0.000
Er 0.000 0.000 3.723
Er 0.000 3.723 0.000
Er 3.723 0.000 0.000
Er 3.723 3.723 3.723
Lu 1.861 1.861 1.861
Lu 1.861 5.584 5.584
Lu 5.584 1.861 5.584
Lu 5.584 5.584 1.861
Zn 1.861 1.861 5.584
Zn 1.861 5.584 1.861
Zn 5.584 1.861 1.861
Zn 5.584 5.584 5.584
```